Entry 1:
# Hf2TcPd2 PBE-GGA relaxed
data_Hf2TcPd2
_chemical_formula_sum 'Hf4 Tc2 Pd4'
_space_group_name_H-M_alt 'P 4/m b m'
_space_group_IT_number 127
_space_group_name_Hall '-P 4 2ab'
_cell_length_a 7.459
_cell_length_b 7.459
_cell_length_c 3.231
_cell_angle_alpha 90.00
_cell_angle_beta 90.00
_cell_angle_gamma 90.00
loop_
_atom_site_label
_atom_site_fract_x
_atom_site_fract_y
_atom_site_fract_z
Hf1 0.178 0.322 0.000
Tc1 0.000 0.000 0.500
Pd1 0.126 0.626 0.500
# ΔE_f = -301 meV/atom
# energy above the most stable polymorph in this dataset = 306 meV per atom

***

Entry 2:
# Ca3Ag2Hg PBE-GGA relaxed
data_Ca3Ag2Hg
_chemical_formula_sum 'Ca6 Ag4 Hg2'
_space_group_name_H-M_alt 'C m m m'
_space_group_IT_number 65
_space_group_name_Hall '-C 2 2'
_cell_length_a 5.295
_cell_length_b 15.986
_cell_length_c 3.704
_cell_angle_alpha 90.00
_cell_angle_beta 90.00
_cell_angle_gamma 90.00
loop_
_atom_site_label
_atom_site_fract_x
_atom_site_fract_y
_atom_site_fract_z
Ca1 0.000 0.000 0.000
Ca2 0.000 0.332 0.000
Ag1 0.000 0.167 0.500
Hg1 0.000 0.500 0.500
# ΔE_f = -386 meV/atom

***

Entry 3:
# TbPmSmPu PBE-GGA relaxed
data_TbPmSmPu
_chemical_formula_sum 'Tb4 Pm4 Sm4 Pu4'
_space_group_name_H-M_alt 'F -4 3 m'
_space_group_IT_number 216
_space_group_name_Hall 'F -4 2 3'
_cell_length_a 8.013
_cell_length_b 8.013
_cell_length_c 8.013
_cell_angle_alpha 90.00
_cell_angle_beta 90.00
_cell_angle_gamma 90.00
loop_
_atom_site_label
_atom_site_fract_x
_atom_site_fract_y
_atom_site_fract_z
Tb1 0.000 0.000 0.000
Pm1 0.250 0.250 0.750
Sm1 0.250 0.250 0.250
Pu1 0.000 0.000 0.500
# ΔE_f = 216 meV/atom

***

Entry 4:
# SrTm2SnN4 PBE-GGA relaxed
data_SrTm2SnN4
_chemical_formula_sum 'Sr4 Tm8 Sn4 N16'
_space_group_name_H-M_alt 'C m c m'
_space_group_IT_number 63
_space_group_name_Hall '-C 2c 2'
_cell_length_a 3.453
_cell_length_b 12.005
_cell_length_c 12.162
_cell_angle_alpha 90.00
_cell_angle_beta 90.00
_cell_angle_gamma 90.00
loop_
_atom_site_label
_atom_site_fract_x
_atom_site_fract_y
_atom_site_fract_z
Sr1 0.000 0.108 0.250
Tm1 0.000 0.371 0.031
Sn1 0.000 0.157 0.750
N1 0.000 0.000 0.000
N2 0.000 0.256 0.613
N3 0.000 0.443 0.250
# ΔE_f (raw) = -91.6 kJ/mol of atoms

***

Entry 5:
# PmMgCdRu PBE-GGA relaxed
data_PmMgCdRu
_chemical_formula_sum 'Pm4 Mg4 Cd4 Ru4'
_space_group_name_H-M_alt 'F -4 3 m'
_space_group_IT_number 216
_space_group_name_Hall 'F -4 2 3'
_cell_length_a 6.983
_cell_length_b 6.983
_cell_length_c 6.983
_cell_angle_alpha 90.00
_cell_angle_beta 90.00
_cell_angle_gamma 90.00
loop_
_atom_site_label
_atom_site_fract_x
_atom_site_fract_y
_atom_site_fract_z
Pm1 0.000 0.000 0.000
Mg1 0.000 0.000 0.500
Cd1 0.250 0.250 0.750
Ru1 0.250 0.250 0.250
# ΔE_f = -36 meV/atom

***

Entry 6:
# HfTiH2Os PBE-GGA relaxed
data_HfTiH2Os
_chemical_formula_sum 'Hf1 Ti1 H2 Os1'
_space_group_name_H-M_alt 'P 4/m m m'
_space_group_IT_number 123
_space_group_name_Hall '-P 4 2'
_cell_length_a 3.741
_cell_length_b 3.741
_cell_length_c 5.018
_cell_angle_alpha 90.00
_cell_angle_beta 90.00
_cell_angle_gamma 90.00
loop_
_atom_site_label
_atom_site_fract_x
_atom_site_fract_y
_atom_site_fract_z
Hf1 0.000 0.000 0.000
Ti1 0.500 0.500 0.000
H1 0.000 0.500 0.500
Os1 0.000 0.000 0.500
# VASP energy = -6.345 eV per atom

***

Entry 7:
# GaSbPbI2 PBE-GGA relaxed
data_GaSbPbI2
_chemical_formula_sum 'Ga1 Sb1 Pb1 I2'
_space_group_name_H-M_alt 'P 4/m m m'
_space_group_IT_number 123
_space_group_name_Hall '-P 4 2'
_cell_length_a 6.299
_cell_length_b 6.299
_cell_length_c 6.095
_cell_angle_alpha 90.00
_cell_angle_beta 90.00
_cell_angle_gamma 90.00
loop_
_atom_site_label
_atom_site_fract_x
_atom_site_fract_y
_atom_site_fract_z
Ga1 0.000 0.000 0.000
Sb1 0.500 0.500 0.000
Pb1 0.500 0.500 0.500
I1 0.000 0.500 0.500
# ΔE_f (raw) = 21.9 kJ/mol of atoms
# energy above the most stable polymorph in this dataset = 77 meV per atom

***

Entry 8:
# YTlRh2 PBE-GGA relaxed
data_YTlRh2
_chemical_formula_sum 'Y2 Tl2 Rh4'
_space_group_name_H-M_alt 'I m m m'
_space_group_IT_number 71
_space_group_name_Hall '-I 2 2'
_cell_length_a 3.086
_cell_length_b 5.188
_cell_length_c 10.573
_cell_angle_alpha 90.00
_cell_angle_beta 90.00
_cell_angle_gamma 90.00
loop_
_atom_site_label
_atom_site_fract_x
_atom_site_fract_y
_atom_site_fract_z
Y1 0.000 0.000 0.000
Tl1 0.000 0.000 0.500
Rh1 0.000 0.000 0.245
# ΔE_f = 396 meV/atom